--- P ---
Na2Pb2Se: relaxed, PBE.

Values from the calculation:
DOS at the Fermi energy   5.290 states/eV per cell
Symmetry   P4/mbm (127)
Magnetic moment   0.00 μB per atom

Cell lengths 7.9162, 7.9162, 4.8474 Å; angles 90.00, 90.00, 90.00 degrees
Atoms (fractional coordinates):
1 Pb 0.3574 0.8574 0.0000
2 Pb 0.8574 0.6426 0.0000
3 Pb 0.6426 0.1426 0.0000
4 Pb 0.1426 0.3574 0.0000
5 Na 0.1653 0.6653 0.5000
6 Na 0.6653 0.8347 0.5000
7 Na 0.8347 0.3347 0.5000
8 Na 0.3347 0.1653 0.5000
9 Se 0.0000 0.0000 0.0000
10 Se 0.5000 0.5000 0.0000

=====

--- Q ---
Na2Pb2Se: relaxed, PBE.

Values from the calculation:
DOS at the Fermi energy   2.481 states/eV per cell
Symmetry   I4/mmm (139)
Magnetic moment   0.00 μB per atom

Cell lengths 4.2388, 4.2388, 8.9749 Å; angles 76.34, 76.34, 90.00 degrees
Atoms (fractional coordinates):
1 Pb 0.4120 0.4120 0.1760
2 Pb 0.5880 0.5880 0.8240
3 Na 0.7500 0.2500 0.5000
4 Na 0.2500 0.7500 0.5000
5 Se 0.0000 0.0000 0.0000

=====

--- R ---
Na2Pb2Se: relaxed, PBE.

Values from the calculation:
DOS at the Fermi energy   3.446 states/eV per cell
Symmetry   P4/mbm (127)
Magnetic moment   0.00 μB per atom

Cell lengths 7.2521, 7.2521, 5.4983 Å; angles 90.00, 90.00, 90.00 degrees
Atoms (fractional coordinates):
1 Pb 0.1542 0.6542 0.5000
2 Pb 0.6542 0.8458 0.5000
3 Pb 0.8458 0.3458 0.5000
4 Pb 0.3458 0.1542 0.5000
5 Na 0.3456 0.8456 0.0000
6 Na 0.8456 0.6544 0.0000
7 Na 0.6544 0.1544 0.0000
8 Na 0.1544 0.3456 0.0000
9 Se 0.0000 0.0000 0.0000
10 Se 0.5000 0.5000 0.0000

=====

Tell me which of them is the most stable. Sure, it is R.